Entry from the Alexandria database: a relaxed structure of Na4WO4 (PBE+U).

abc: 7.286 7.286 4.869
angles: 90.00 90.00 90.00
Space group I4/m (No. 87)
Inequivalent atoms, fractional coordinates:
Na 0.094 0.696 0.000 [8 per cell]
W 0.000 0.000 0.500 [2 per cell]
O 0.081 0.748 0.500 [8 per cell]

Calculated values
Fermi-level density of states: 0.0000 states/eV/atom
size of the total moment: 0.05 μB/cell
relative energy among the computed polymorphs: 0 meV per atom
V: 258.5 Å³ per cell